# 1
Here is a geometry-optimized CaZrBe2Co structure from Alexandria. Energies are from PBE-GGA.

The energy is -22.017 eV for the cell shown. The formation energy is 0.62 eV/atom.

It has space group P4/mmm (No. 123), with a = 4.292 Å, b = 4.292 Å, c = 4.563 Å, α = 90.00°, β = 90.00° and γ = 90.00°. The distinct sites, in fractional coordinates, are Ca at (0.000, 0.000, 0.000), Zr at (0.500, 0.500, 0.000), Be at (0.000, 0.500, 0.500) and Co at (0.000, 0.000, 0.500).



# 2
Here is a geometry-optimized TbTm4Al structure from Alexandria. Energies are from PBE-GGA.

The calculation puts the energy above the most stable polymorph in this dataset at 0.000 kcal/mol of atoms. The energy is -27.004 eV for the cell shown. The formation energy is -0.12 eV/atom.

It has space group P4/mmm (No. 123), with a = 3.491 Å, b = 3.491 Å, c = 13.813 Å, α = 90.00°, β = 90.00° and γ = 90.00°. The distinct sites, in fractional coordinates, are Tb at (0.000, 0.000, 0.000), Tm at (0.000, 0.000, 0.364), Tm at (0.500, 0.500, 0.181) and Al at (0.500, 0.500, 0.500).



# 3
Here is a geometry-optimized Ac2Nd2GaGe4 structure from Alexandria. Energies are from PBE-GGA.

The energy is -85.055 eV for the cell shown. The formation energy is -0.36 eV/atom.

It has space group I4/mmm (No. 139), with a = 7.333 Å, b = 7.333 Å, c = 9.079 Å, α = 90.00°, β = 90.00° and γ = 90.00°. The distinct sites, in fractional coordinates, are Ac at (0.000, 0.500, 0.250), Nd at (0.000, 0.000, 0.186), Ga at (0.000, 0.000, 0.500) and Ge at (0.248, 0.248, 0.500).



# 4
Here is a geometry-optimized BeZnRe2 structure from Alexandria. Energies are from PBE-GGA.

The energy is -58.094 eV for the cell shown. The formation energy is 0.21 eV/atom.

It has space group Cmmm (No. 65), with a = 3.058 Å, b = 4.272 Å, c = 8.226 Å, α = 90.00°, β = 90.00° and γ = 90.00°. The distinct sites, in fractional coordinates, are Be at (0.000, 0.000, 0.000), Zn at (0.000, 0.000, 0.500) and Re at (0.000, 0.500, 0.230).



# 5
Here is a geometry-optimized Nd5ThSb5 structure from Alexandria. Energies are from PBE-GGA.

The energy is -125.001 eV for the cell shown.

It has space group C2/m (No. 12), with a = 14.152 Å, b = 6.353 Å, c = 8.954 Å, α = 90.00°, β = 108.45° and γ = 90.00°. The distinct sites, in fractional coordinates, are Nd at (0.000, 0.000, 0.000), Nd at (0.167, 0.500, 0.333), Nd at (0.169, 0.500, 0.834), Th at (0.000, 0.000, 0.500), Sb at (0.000, 0.500, 0.500), Sb at (0.166, 0.000, 0.834) and Sb at (0.168, 0.000, 0.333).



# 6
Here is a geometry-optimized RhWCl2 structure from Alexandria. Energies are from PBE-GGA.

The calculation puts the energy above the most stable polymorph in this dataset at 26.824 kcal/mol of atoms. The energy is -80.444 eV for the cell shown.

It has space group Fm-3m (No. 225), with a = 6.203 Å, b = 6.203 Å, c = 6.203 Å, α = 90.00°, β = 90.00° and γ = 90.00°. The distinct sites, in fractional coordinates, are Rh at (0.000, 0.000, 0.000), W at (0.000, 0.000, 0.500) and Cl at (0.250, 0.250, 0.250).



# 7
Here is a geometry-optimized CsHgBrCl2 structure from Alexandria. Energies are from PBE-GGA.

The calculation puts the energy above the most stable polymorph in this dataset at 0.000 kcal/mol of atoms. The energy is -12.007 eV for the cell shown.

It has space group P4/mmm (No. 123), with a = 5.435 Å, b = 5.435 Å, c = 5.618 Å, α = 90.00°, β = 90.00° and γ = 90.00°. The distinct sites, in fractional coordinates, are Cs at (0.000, 0.000, 0.000), Hg at (0.500, 0.500, 0.500), Br at (0.500, 0.500, 0.000) and Cl at (0.000, 0.500, 0.500).



# 8
Here is a geometry-optimized In2ReTc structure from Alexandria. Energies are from PBE-GGA.

The calculation puts the energy above the most stable polymorph in this dataset at 3.648 kcal/mol of atoms. The energy is -81.511 eV for the cell shown. The formation energy is 0.28 eV/atom.

It has space group R3m (No. 160, hexagonal axes), with a = 2.9693 Å, b = 2.9693 Å, c = 28.6750 Å, α = 90.00°, β = 90.00° and γ = 120.00°. The distinct sites, in fractional coordinates, are In at (0.0000, 0.0000, 0.0000), In at (0.0000, 0.0000, 0.2378), Re at (0.0000, 0.0000, 0.7515) and Tc at (0.0000, 0.0000, 0.4876).